[1]
Density functional theory data (PBE-GGA) for an optimized crystal structure of ErH2Rh.

Values from the calculation:
energy above the most stable polymorph in this dataset	0.000	eV/atom
energy	-0.384	Ry/atom
DOS(E_F)	2.66	states/eV/cell

a = 5.7176 Å, b = 5.6572 Å, c = 6.0990 Å
α = 104.48°, β = 90.00°, γ = 90.00°
Atoms (fractional coordinates):
Er: 0.1882 0.3052 0.0822
Er: 0.3118 0.8052 0.5822
Er: 0.8118 0.6948 0.9178
Er: 0.6882 0.1948 0.4178
H: 0.4172 0.2214 0.7325
H: 0.1450 0.8997 0.9174
H: 0.9172 0.2786 0.7675
H: 0.5828 0.7786 0.2675
H: 0.8550 0.1003 0.0826
H: 0.6450 0.6003 0.5826
H: 0.3550 0.3997 0.4174
H: 0.0828 0.7214 0.2325
Rh: 0.6523 0.1725 0.9021
Rh: 0.1523 0.3275 0.5979
Rh: 0.3477 0.8275 0.0979
Rh: 0.8477 0.6725 0.4021

---

[2]
Density functional theory data (PBE-GGA) for an optimized crystal structure of Fe6CuPd12.

Values from the calculation:
energy above the most stable polymorph in this dataset	0.100	eV/atom
DFT formation energy	0.036	eV per atom
energy	-0.451	Ry/atom
DOS(E_F)	16.14	states/eV/cell

a = 6.7261 Å, b = 6.7261 Å, c = 6.7261 Å
α = 100.42°, β = 100.42°, γ = 100.42°
Atoms (fractional coordinates):
Fe: 0.5001 0.7547 0.2454
Fe: 0.7546 0.4999 0.2453
Fe: 0.2453 0.7546 0.4999
Fe: 0.4999 0.2453 0.7546
Fe: 0.2454 0.5001 0.7547
Fe: 0.7547 0.2454 0.5001
Cu: 0.0000 0.0000 0.0000
Pd: 0.9178 0.6462 0.6462
Pd: 0.6462 0.9178 0.6462
Pd: 0.6462 0.6462 0.9178
Pd: 0.0822 0.3538 0.3538
Pd: 0.3538 0.0822 0.3538
Pd: 0.3538 0.3538 0.0822
Pd: 0.8887 0.8884 0.3272
Pd: 0.1116 0.6728 0.1113
Pd: 0.6728 0.1113 0.1116
Pd: 0.1113 0.1116 0.6728
Pd: 0.8884 0.3272 0.8887
Pd: 0.3272 0.8887 0.8884

---

[3]
Density functional theory data (PBE-GGA) for an optimized crystal structure of Ac6Tl3Pt.

Values from the calculation:
DFT formation energy	-0.390	eV per atom
energy	-0.306	Ry/atom
DOS(E_F)	24.82	states/eV/cell

a = 7.2636 Å, b = 9.4422 Å, c = 11.4053 Å
α = 90.00°, β = 86.31°, γ = 90.00°
Atoms (fractional coordinates):
Ac: 0.6499 0.1589 0.9394
Ac: 0.6205 0.1965 0.5687
Ac: 0.6567 0.4402 0.2626
Ac: 0.3433 0.5598 0.7374
Ac: 0.3795 0.8035 0.4313
Ac: 0.3501 0.8411 0.0606
Ac: 0.1499 0.3411 0.4394
Ac: 0.1205 0.3035 0.0687
Ac: 0.1567 0.0598 0.7626
Ac: 0.8433 0.9402 0.2374
Ac: 0.8795 0.6965 0.9313
Ac: 0.8501 0.6589 0.5606
Tl: 0.5807 0.8873 0.7371
Tl: 0.5000 0.5000 0.0000
Tl: 0.4193 0.1127 0.2629
Tl: 0.0807 0.6127 0.2371
Tl: 0.0000 0.0000 0.5000
Tl: 0.9193 0.3873 0.7629
Pt: 0.5000 0.5000 0.5000
Pt: 0.0000 0.0000 0.0000

---

[4]
Density functional theory data (PBE-GGA) for an optimized crystal structure of Li3Ac3PdO8.

Values from the calculation:
uncorrected formation energy	-2.103	eV per atom
energy	-0.463	Ry/atom

a = 7.3114 Å, b = 7.3113 Å, c = 6.4369 Å
α = 124.62°, β = 89.98°, γ = 120.01°
Atoms (fractional coordinates):
Li: 0.0000 0.0000 0.0000
Li: 0.0000 0.5000 0.0000
Li: 0.5000 0.5000 0.0000
Ac: 0.5000 0.0000 0.5000
Ac: 0.5000 0.5000 0.5000
Ac: 0.0000 0.5000 0.5000
Pd: 0.0000 0.0000 0.5000
O: 0.2548 0.5096 0.2645
O: 0.7452 0.4904 0.7355
O: 0.7795 0.5589 0.2599
O: 0.2205 0.4411 0.7401
O: 0.7795 0.9804 0.2599
O: 0.2205 0.0196 0.7401
O: 0.2011 0.9804 0.2599
O: 0.7989 0.0196 0.7401

---

[5]
Density functional theory data (PBE-GGA) for an optimized crystal structure of Ca3SbMo.

Values from the calculation:
energy above the most stable polymorph in this dataset	0.000	eV/atom
uncorrected formation energy	0.559	eV per atom
energy	-0.267	Ry/atom
DOS(E_F)	4.50	states/eV/cell

a = 5.8869 Å, b = 5.8869 Å, c = 5.8869 Å
α = 90.00°, β = 90.00°, γ = 90.00°
Atoms (fractional coordinates):
Sb: 0.0000 0.0000 0.0000
Mo: 0.5000 0.5000 0.5000
Ca: 0.0000 0.5000 0.0000
Ca: 0.0000 0.0000 0.5000
Ca: 0.5000 0.0000 0.0000

---

[6]
Density functional theory data (PBE-GGA) for an optimized crystal structure of Zr2Tc3Ni.

Values from the calculation:
DFT formation energy	-0.356	eV per atom
energy	-0.687	Ry/atom
DOS(E_F)	5.92	states/eV/cell

a = 5.1309 Å, b = 5.1309 Å, c = 5.2708 Å
α = 90.03°, β = 119.09°, γ = 120.00°
Atoms (fractional coordinates):
Zr: 0.7552 0.3777 0.1330
Zr: 0.2448 0.6223 0.8670
Tc: 0.5000 0.5000 0.5000
Tc: 0.0000 0.0000 0.5000
Tc: 0.5000 0.0000 0.5000
Ni: 0.0000 0.0000 0.0000

---

[7]
Density functional theory data (PBE-GGA) for an optimized crystal structure of KSn3.

Values from the calculation:
DFT formation energy	-0.029	eV per atom
energy	-0.243	Ry/atom
DOS(E_F)	2.90	states/eV/cell

a = 5.1440 Å, b = 5.1440 Å, c = 6.8408 Å
α = 67.92°, β = 67.92°, γ = 60.00°
Atoms (fractional coordinates):
K: 0.5000 0.5000 0.5000
Sn: 0.2863 0.2863 0.1412
Sn: 0.7137 0.7137 0.8588
Sn: 0.0000 0.0000 0.0000

---

[8]
Density functional theory data (PBE-GGA) for an optimized crystal structure of NaLaSb2I.

Values from the calculation:
energy above the most stable polymorph in this dataset	0.130	eV/atom
uncorrected formation energy	-0.109	eV per atom
energy	-0.244	Ry/atom
DOS(E_F)	2.57	states/eV/cell

a = 5.3616 Å, b = 5.3616 Å, c = 5.7680 Å
α = 90.00°, β = 90.00°, γ = 90.00°
Atoms (fractional coordinates):
I: 0.0000 0.0000 0.5000
Sb: 0.0000 0.5000 0.0000
Sb: 0.5000 0.0000 0.0000
Na: 0.0000 0.0000 0.0000
La: 0.5000 0.5000 0.5000

---

[9]
Density functional theory data (PBE-GGA) for an optimized crystal structure of MgScRu.

Values from the calculation:
DFT formation energy	-0.333	eV per atom
energy	-0.446	Ry/atom
DOS(E_F)	3.43	states/eV/cell

a = 3.3063 Å, b = 4.5576 Å, c = 7.3080 Å
α = 90.00°, β = 103.07°, γ = 90.00°
Atoms (fractional coordinates):
Ru: 0.4175 0.2500 0.8349
Ru: 0.5825 0.7500 0.1651
Sc: 0.9266 0.7500 0.8532
Sc: 0.0734 0.2500 0.1468
Mg: 0.7664 0.2500 0.5329
Mg: 0.2336 0.7500 0.4671

---

[10]
Density functional theory data (PBE-GGA) for an optimized crystal structure of La2YAgOs.

Values from the calculation:
DFT formation energy	-0.012	eV per atom
energy	-0.448	Ry/atom
DOS(E_F)	4.06	states/eV/cell

a = 5.5480 Å, b = 5.5480 Å, c = 5.4616 Å
α = 90.00°, β = 90.00°, γ = 90.00°
Atoms (fractional coordinates):
Y: 0.0000 0.0000 0.5000
Os: 0.0000 0.0000 0.0000
Ag: 0.5000 0.5000 0.5000
La: 0.0000 0.5000 0.0000
La: 0.5000 0.0000 0.0000

---

[11]
Density functional theory data (PBE-GGA) for an optimized crystal structure of La5DyP6.

Values from the calculation:
DFT formation energy	-1.570	eV per atom
energy	-0.493	Ry/atom
DOS(E_F)	0.68	states/eV/cell

a = 7.3318 Å, b = 7.3326 Å, c = 7.3326 Å
α = 60.00°, β = 80.40°, γ = 70.52°
Atoms (fractional coordinates):
P: 0.7549 0.0816 0.3257
P: 0.2451 0.5927 0.3257
P: 0.2457 0.2436 0.0000
P: 0.7543 0.7564 0.0000
P: 0.7549 0.4073 0.6743
P: 0.2451 0.9184 0.6743
Dy: 0.0000 0.0000 0.0000
La: 0.5000 0.1673 0.6655
La: 0.0000 0.3336 0.3327
La: 0.5000 0.5000 0.0000
La: 0.0000 0.6664 0.6673
La: 0.5000 0.8327 0.3345

---

[12]
Density functional theory data (PBE-GGA) for an optimized crystal structure of BeInN2F.

Values from the calculation:
energy above the most stable polymorph in this dataset	0.000	eV/atom
uncorrected formation energy	0.032	eV per atom
energy	-0.365	Ry/atom
DOS(E_F)	1.92	states/eV/cell

a = 3.5941 Å, b = 3.5941 Å, c = 3.7220 Å
α = 90.00°, β = 90.00°, γ = 90.00°
Atoms (fractional coordinates):
Be: 0.0000 0.0000 0.0000
N: 0.0000 0.5000 0.0000
N: 0.5000 0.0000 0.0000
F: 0.0000 0.0000 0.5000
In: 0.5000 0.5000 0.5000